# 1
# LiIrCl2

A relaxed LiIrCl2 crystal (GGA-PBE, Alexandria via LeMat-Bulk).

Geometry as POSCAR:
```
LiIrCl2
1.0
6.806 0.155 0.001
4.442 5.158 -0.001
-5.405 -3.121 2.719
Ir Li Cl
1 1 2
direct
0.750 0.250 0.500
0.250 0.750 0.500
0.875 0.875 0.000
0.625 0.625 0.000
```

---

# 2
# SrTbReN4

A relaxed SrTbReN4 crystal (GGA-PBE, Alexandria via LeMat-Bulk).

Geometry as POSCAR:
```
SrTbReN4
1.0
5.910 0.000 0.126
0.000 5.942 0.000
-2.167 0.000 6.725
N Re Tb Sr
8 2 2 2
direct
0.948 0.491 0.715
0.948 0.009 0.715
0.543 0.250 0.834
0.551 0.250 0.428
0.457 0.750 0.166
0.052 0.991 0.285
0.052 0.509 0.285
0.449 0.750 0.572
0.741 0.250 0.677
0.259 0.750 0.323
0.803 0.750 0.459
0.197 0.250 0.541
0.722 0.750 0.930
0.278 0.250 0.070
```

---

# 3
# Sr2TaCr

A relaxed Sr2TaCr crystal (GGA-PBE, Alexandria via LeMat-Bulk).

Geometry as POSCAR:
```
Sr2TaCr
1.0
-5.247 -3.824 0.776
-1.547 -1.728 6.114
0.788 4.739 -4.437
Ta Sr Cr
1 2 1
direct
0.443 0.443 0.000
0.733 0.233 0.500
0.034 0.034 0.000
0.291 0.791 0.500
```

Results
Its formation energy is 18.82 kcal/mol of atoms.

---

Number 1: uncorrected energy -4.097 eV per atom. Number 2: uncorrected energy -8.319 eV per atom. Number 3: uncorrected energy -5.394 eV per atom.